Entry from OQMD via LeMat-Bulk: a geometry-optimized NaAcCd structure (PBE-GGA).

Cell lengths 7.736, 7.736, 7.736 Å; angles 90.00, 90.00, 90.00 degrees
Space group F-43m (No. 216)
Asymmetric unit:
Na  0.000  0.000  0.000
Ac  0.250  0.250  0.750
Cd  0.000  0.000  0.500

Results
Its total energy is -1.6978 eV/atom.

=====

Entry from OQMD via LeMat-Bulk: a geometry-optimized TmNbI2O2 structure (PBE-GGA).

Cell lengths 3.783, 3.783, 9.164 Å; angles 90.00, 90.00, 90.00 degrees
Space group P4mm (No. 99)
Asymmetric unit:
Tm  0.000  0.000  0.000
Nb  0.500  0.500  0.764
I  0.000  0.000  0.572
I  0.500  0.500  0.208
O  0.000  0.500  0.879

Results
Its total energy is -6.4587 eV/atom.

=====

Entry from OQMD via LeMat-Bulk: a geometry-optimized PIrPdO structure (PBE-GGA).

Cell lengths 3.363, 6.580, 5.376 Å; angles 90.00, 90.00, 90.00 degrees
Space group Pmc2_1 (No. 26)
Asymmetric unit:
P  0.000  0.248  0.000
Ir  0.500  0.450  0.140
Pd  0.000  0.084  0.613
O  0.500  0.287  0.454

Results
As for the relative energy among the computed polymorphs: 0.0 meV per atom.

=====

Entry from OQMD via LeMat-Bulk: a geometry-optimized NdSnTeAuSe2 structure (PBE-GGA).

Cell lengths 4.154, 14.249, 11.272 Å; angles 90.00, 90.00, 90.00 degrees
Space group Cmcm (No. 63)
Asymmetric unit:
Nd  0.000  0.000  0.000
Sn  0.000  0.206  0.250
Te  0.000  0.107  0.750
Au  0.000  0.473  0.750
Se  0.000  0.357  0.564

Results
Its total energy is -4.5090 eV/atom.

=====

Entry from OQMD via LeMat-Bulk: a geometry-optimized Pu3TcN6 structure (PBE-GGA).

Cell lengths 8.921, 11.315, 5.425 Å; angles 90.00, 90.00, 90.00 degrees
Space group Cmc2_1 (No. 36)
Asymmetric unit:
Pu  0.000  0.103  0.000
Pu  0.198  0.395  0.026
Tc  0.000  0.304  0.573
N  0.000  0.290  0.229
N  0.000  0.454  0.711
N  0.158  0.011  0.267
N  0.158  0.236  0.745

Results
Its total energy is -11.2125 eV/atom.

=====

Entry from OQMD via LeMat-Bulk: a geometry-optimized MgZnAg6 structure (PBE-GGA).

Cell lengths 5.8484, 5.8484, 4.7572 Å; angles 90.00, 90.00, 120.00 degrees
Space group P-6m2 (No. 187)
Asymmetric unit:
Mg  0.0000  0.0000  0.0000
Zn  0.6667  0.3333  0.5000
Ag  0.1663  0.3326  0.5000
Ag  0.5019  0.0038  0.0000

Results
Its total energy is -2.5650 eV/atom.

=====

Entry from OQMD via LeMat-Bulk: a geometry-optimized HfAlCoHg structure (PBE-GGA).

Cell lengths 6.439, 6.439, 6.439 Å; angles 90.00, 90.00, 90.00 degrees
Space group F-43m (No. 216)
Asymmetric unit:
Hf  0.000  0.000  0.000
Al  0.250  0.250  0.250
Co  0.000  0.000  0.500
Hg  0.250  0.250  0.750

Results
As for the relative energy among the computed polymorphs: 120.3 meV per atom.

=====

Entry from OQMD via LeMat-Bulk: a geometry-optimized CsZrTlSe3 structure (PBE-GGA).

Cell lengths 8.264, 4.026, 11.393 Å; angles 90.00, 95.91, 90.00 degrees
Space group P2_1/m (No. 11)
Asymmetric unit:
Cs  0.248  0.250  0.476
Zr  0.407  0.750  0.843
Tl  0.053  0.750  0.140
Se  0.130  0.750  0.713
Se  0.313  0.250  0.987
Se  0.449  0.750  0.272

Results
As for the relative energy among the computed polymorphs: 9.6 meV per atom.

=====

Entry from OQMD via LeMat-Bulk: a geometry-optimized NaZrFeAs structure (PBE-GGA).

Cell lengths 6.255, 6.255, 6.255 Å; angles 90.00, 90.00, 90.00 degrees
Space group F-43m (No. 216)
Asymmetric unit:
Na  0.000  0.000  0.000
Zr  0.250  0.250  0.750
Fe  0.000  0.000  0.500
As  0.250  0.250  0.250

Results
As for the relative energy among the computed polymorphs: 0.0 meV per atom.

=====

Entry from OQMD via LeMat-Bulk: a geometry-optimized B4MoPb structure (PBE-GGA).

Cell lengths 3.094, 5.535, 7.541 Å; angles 90.00, 90.00, 90.00 degrees
Space group Immm (No. 71)
Asymmetric unit:
B  0.000  0.161  0.243
Mo  0.000  0.500  0.500
Pb  0.000  0.500  0.000

Results
As for the relative energy among the computed polymorphs: 445.3 meV per atom.

=====

Entry from OQMD via LeMat-Bulk: a geometry-optimized TmZrPd structure (PBE-GGA).

Cell lengths 6.637, 6.637, 6.637 Å; angles 90.00, 90.00, 90.00 degrees
Space group F-43m (No. 216)
Asymmetric unit:
Tm  0.000  0.000  0.000
Zr  0.000  0.000  0.500
Pd  0.250  0.250  0.250

Results
As for the relative energy among the computed polymorphs: 0.0 meV per atom. For the calculated formation energy, the calculation gives -251 meV per atom.

=====

Entry from OQMD via LeMat-Bulk: a geometry-optimized HfZr2Ni3As4Pd structure (PBE-GGA).

Cell lengths 6.487, 3.841, 7.418 Å; angles 90.00, 90.59, 90.00 degrees
Space group Pm (No. 6)
Asymmetric unit:
Hf  0.000  0.000  0.000
Zr  0.491  0.000  0.137
Zr  0.551  0.500  0.509
Ni  0.174  0.500  0.260
Ni  0.397  0.000  0.758
Ni  0.890  0.000  0.374
As  0.253  0.000  0.451
As  0.270  0.500  0.923
As  0.797  0.500  0.208
As  0.809  0.000  0.682
Pd  0.668  0.500  0.880

Results
As for the relative energy among the computed polymorphs: 12.3 meV per atom.